The following is a DFT calculation (PBE) of LaZnW2 after structural relaxation.

Cell: 4.804 3.507 5.055 Å, 79.78 90.00 90.00°
Fractional coordinates of all 4 atoms:
La: 0.500 0.750 0.750
W: 0.000 0.065 0.063
W: 0.000 0.435 0.437
Zn: 0.500 0.250 0.250

Results
Its crystal system is monoclinic. Its space group is P2/m. The formation energy from the elements is 0.656 eV/atom. As for the volume: 83.81 Å³/cell. Its density of states at the Fermi level is 3.9 states/eV/f.u.

---

The following is a DFT calculation (PBE) of BaCaCu2Ge after structural relaxation.

Cell: 4.847 5.967 4.847 Å, 90.00 90.00 90.00°
Fractional coordinates of all 5 atoms:
Ge: 0.000 0.000 0.000
Ca: 0.500 0.500 0.500
Ba: 0.000 0.500 0.000
Cu: 0.000 0.000 0.500
Cu: 0.500 0.000 0.000

Results
Its crystal system is tetragonal. Its space group is P4/mmm. The formation energy from the elements is 0.340 eV/atom. As for the volume: 140.17 Å³/cell. Its density of states at the Fermi level is 6.3 states/eV/f.u.

---

The following is a DFT calculation (PBE) of Th4InBi after structural relaxation.

Cell: 5.934 5.934 11.465 Å, 104.99 105.00 90.00°
Fractional coordinates of all 12 atoms:
Th: 0.671 0.171 0.842
Th: 0.828 0.329 0.158
Th: 0.329 0.829 0.158
Th: 0.172 0.671 0.842
Th: 0.074 0.074 0.648
Th: 0.426 0.426 0.352
Th: 0.926 0.926 0.352
Th: 0.574 0.574 0.648
In: 0.500 0.000 0.500
In: 0.000 0.500 0.500
Bi: 0.750 0.750 0.000
Bi: 0.250 0.250 0.000

Results
Its crystal system is tetragonal. Its space group is P4/mmm. The formation energy from the elements is -0.178 eV/atom. As for the volume: 375.66 Å³/cell. Its density of states at the Fermi level is 5.6 states/eV/f.u.

---

The following is a DFT calculation (PBE) of CsTmO2 after structural relaxation.

Cell: 3.497 3.497 7.201 Å, 75.95 75.95 60.00°
Fractional coordinates of all 4 atoms:
Cs: 0.497 0.497 0.508
Tm: 0.667 0.667 0.000
O: 0.055 0.055 0.834
O: 0.281 0.281 0.157

Results
The uncorrected formation energy is -2.637 eV/atom. Its crystal system is trigonal. Its space group is R3m. As for the volume: 73.21 Å³/cell. Its density of states at the Fermi level is 0.0 states/eV/f.u.

---

The following is a DFT calculation (PBE) of Rb2LiH6Ir after structural relaxation.

Cell: 4.945 5.967 5.967 Å, 120.00 90.00 90.00°
Fractional coordinates of all 10 atoms:
Rb: 0.238 0.333 0.667
Rb: 0.762 0.667 0.333
Li: 0.500 0.000 0.000
H: 0.801 0.134 0.268
H: 0.801 0.134 0.866
H: 0.801 0.732 0.866
H: 0.199 0.866 0.134
H: 0.199 0.268 0.134
H: 0.199 0.866 0.732
Ir: 0.000 0.000 0.000

Results
Its crystal system is trigonal. For the final energy, the calculation gives -3.727 eV per atom. Its space group is P-3m1. As for the volume: 152.50 Å³/cell. Its density of states at the Fermi level is 0.0 states/eV/f.u.

---

The following is a DFT calculation (PBE) of HoAl2Cu3 after structural relaxation.

Cell: 4.234 4.234 12.320 Å, 90.00 90.00 120.00°
Fractional coordinates of all 12 atoms:
Ho: 0.000 0.000 0.250
Ho: 0.000 0.000 0.750
Al: 0.667 0.333 0.425
Al: 0.333 0.667 0.575
Al: 0.333 0.667 0.925
Al: 0.667 0.333 0.075
Cu: 0.000 0.000 0.500
Cu: 0.000 0.000 0.000
Cu: 0.667 0.333 0.633
Cu: 0.333 0.667 0.133
Cu: 0.667 0.333 0.867
Cu: 0.333 0.667 0.367

Results
Its crystal system is hexagonal. Its space group is P6_3/mmc. The formation energy from the elements is -0.341 eV/atom. As for the volume: 191.29 Å³/cell. Its density of states at the Fermi level is 2.2 states/eV/f.u.